GGA+U CrAgClF2, relaxed; symmetry = P4/mmm; energy = -4.82 eV/atom
1.0
3.9597 0.0000 0.0000
0.0000 3.9597 0.0000
0.0000 0.0000 5.9295
Cr F Ag Cl
1 2 1 1
Cartesian
0.0000 0.0000 0.0000 Cr
0.0000 1.9799 0.0000 F
1.9799 0.0000 0.0000 F
1.9799 1.9799 2.9647 Ag
0.0000 0.0000 2.9647 Cl

GGA+U CrAg3Cl2F6, relaxed; symmetry = C2/m; energy = -4.02 eV/atom
1.0
5.0559 0.0000 0.3673
0.0000 6.5292 0.0000
-0.1750 -3.2646 6.1361
Cr Ag Cl F
1 3 2 6
Cartesian
2.5279 0.0000 0.1837 Cr
0.0000 3.2646 0.0000 Ag
2.4404 1.6323 3.2517 Ag
2.4404 -1.6323 3.2517 Ag
0.8612 3.2646 2.3334 Cl
4.0197 0.0000 4.1700 Cl
3.5240 1.4076 1.0970 F
1.3569 1.8570 5.4063 F
3.4862 3.2646 4.7793 F
1.3947 0.0000 1.7241 F
1.3569 -1.8570 5.4063 F
3.5240 5.1215 1.0970 F

Repeat the first record exactly.
GGA+U CrAgClF2, relaxed; symmetry = P4/mmm; energy = -4.82 eV/atom
1.0
3.9597 0.0000 0.0000
0.0000 3.9597 0.0000
0.0000 0.0000 5.9295
Cr F Ag Cl
1 2 1 1
Cartesian
0.0000 0.0000 0.0000 Cr
0.0000 1.9799 0.0000 F
1.9799 0.0000 0.0000 F
1.9799 1.9799 2.9647 Ag
0.0000 0.0000 2.9647 Cl